The following is a DFT calculation (PBE) of crystalline Nd5Ag2Hg at its relaxed geometry.

Lattice parameters (Å, degrees): 7.9701 7.9701 9.3190 115.32 115.32 90.00
Element x y z (fractional)
Nd 0.5070 0.6873 0.6943
Nd 0.8127 0.9930 0.3057
Nd 0.0000 0.0000 0.0000
Nd 0.5000 0.5000 0.0000
Nd 0.1873 0.0070 0.6943
Nd 0.6873 0.1873 0.6943
Nd 0.0070 0.5070 0.6943
Nd 0.3127 0.8127 0.3057
Nd 0.9930 0.4930 0.3057
Nd 0.4930 0.3127 0.3057
Ag 0.1298 0.3702 0.0000
Ag 0.6298 0.1298 0.0000
Ag 0.3702 0.8702 0.0000
Ag 0.8702 0.6298 0.0000
Hg 0.7500 0.7500 0.5000
Hg 0.2500 0.2500 0.5000

Summary:
The formation energy comes out at -0.201 eV per atom. The calculation puts the total moment at 0.00 Bohr magnetons per cell.


The following is a DFT calculation (PBE) of crystalline Nd2AgHg6 at its relaxed geometry.

Lattice parameters (Å, degrees): 5.6718 8.1606 7.2216 124.40 114.69 90.00
Element x y z (fractional)
Nd 0.5846 0.6850 0.3700
Nd 0.4154 0.3150 0.6300
Ag 0.0000 0.0000 0.0000
Hg 0.0618 0.4568 0.2880
Hg 0.9382 0.1688 0.7120
Hg 0.9382 0.5432 0.7120
Hg 0.5000 0.1762 0.0000
Hg 0.0618 0.8312 0.2880
Hg 0.5000 0.8238 0.0000

Summary:
The formation energy comes out at -0.193 eV per atom. The calculation puts the total moment at 0.00 Bohr magnetons per cell.


The following is a DFT calculation (PBE) of crystalline Nd4Ag3Hg5 at its relaxed geometry.

Lattice parameters (Å, degrees): 5.2545 9.6337 14.4627 27.14 79.53 74.17
Element x y z (fractional)
Nd 0.4051 0.4431 0.7467
Nd 0.1897 0.8688 0.7519
Nd 0.8104 0.1312 0.2481
Nd 0.5949 0.5569 0.2533
Ag 0.9368 0.0740 0.0523
Ag 0.0000 0.5000 0.5000
Ag 0.0632 0.9260 0.9477
Hg 0.2258 0.2103 0.3381
Hg 0.5000 0.5000 0.5000
Hg 0.6373 0.8313 0.8942
Hg 0.3627 0.1687 0.1058
Hg 0.7742 0.7897 0.6619

Summary:
The formation energy comes out at -0.229 eV per atom. The calculation puts the total moment at 0.00 Bohr magnetons per cell.


The following is a DFT calculation (PBE) of crystalline Nd6Ag5Hg at its relaxed geometry.

Lattice parameters (Å, degrees): 5.3685 7.4438 8.4923 90.00 108.68 90.00
Element x y z (fractional)
Nd 0.8331 0.7483 0.6638
Nd 0.8331 0.2517 0.6638
Nd 0.5000 0.2540 0.0000
Nd 0.5000 0.7460 0.0000
Nd 0.1669 0.7483 0.3362
Nd 0.1669 0.2517 0.3362
Hg 0.0000 0.0000 0.0000
Ag 0.6639 0.5000 0.3320
Ag 0.3368 0.0000 0.6691
Ag 0.0000 0.5000 0.0000
Ag 0.6632 0.0000 0.3309
Ag 0.3361 0.5000 0.6680

Summary:
The formation energy comes out at -0.295 eV per atom. The calculation puts the total moment at 0.00 Bohr magnetons per cell.


The following is a DFT calculation (PBE) of crystalline Nd6Ag2Hg at its relaxed geometry.

Lattice parameters (Å, degrees): 8.9294 8.9294 8.9294 108.80 111.05 108.57
Element x y z (fractional)
Nd 0.5558 0.7325 0.8233
Nd 0.4442 0.2675 0.1767
Nd 0.0907 0.2675 0.8233
Nd 0.9093 0.7325 0.1767
Nd 0.8019 0.7485 0.5504
Nd 0.1981 0.2515 0.4496
Nd 0.1981 0.7485 0.9466
Nd 0.8019 0.2515 0.0534
Nd 0.7217 0.3953 0.6736
Nd 0.2783 0.6047 0.3264
Nd 0.2783 0.9520 0.6736
Nd 0.7217 0.0480 0.3264
Ag 0.5000 0.3668 0.8668
Ag 0.5000 0.6332 0.1332
Ag 0.6425 0.0000 0.6425
Ag 0.3575 0.0000 0.3575
Hg 0.0000 0.5000 0.5000
Hg 0.0000 0.0000 0.0000

Summary:
The formation energy comes out at -0.178 eV per atom. The calculation puts the total moment at 0.00 Bohr magnetons per cell.


The following is a DFT calculation (PBE) of crystalline NdAgHg5 at its relaxed geometry.

Lattice parameters (Å, degrees): 4.8889 4.8889 7.4570 90.00 90.00 90.00
Element x y z (fractional)
Nd 0.0000 0.0000 0.0000
Ag 0.0000 0.0000 0.5000
Hg 0.5000 0.0000 0.7113
Hg 0.0000 0.5000 0.7113
Hg 0.5000 0.5000 0.0000
Hg 0.0000 0.5000 0.2887
Hg 0.5000 0.0000 0.2887

Summary:
The formation energy comes out at -0.214 eV per atom. The calculation puts the total moment at 0.00 Bohr magnetons per cell.


Q: What is the total moment in the fourth record?
A: 0.00 Bohr magnetons per cell